VASP calculation (GGA-PBEsol) on a geometry-optimized Al3Cr structure.

Output
Total magnetic moment = 0.92 Bohr magnetons per cell
E_form = -18 meV per atom
Theoretical density = 3.87 g/cm³
Symmetry = No. 123

a b c (Å): 3.2478 3.2478 5.4091
angles (deg): 90.00 90.00 90.00
Each line ends with the local moment (μB).
Element x y z (fractional)
Al  0.5000  0.5000  0.0000  -0.02
Al  0.0000  0.0000  0.2678  0.97
Al  0.0000  0.0000  0.7322  -0.01
Cr  0.5000  0.5000  0.5000  -0.02